Compound: Re2SbIr
Source: the Alexandria database
Functional: PBE
Structure: optimized geometry

a b c (Å): 5.441 5.441 5.441
angles (deg): 147.19 130.75 60.45
Positions (direct):
Re1 0.226 0.226 0.000
Re2 0.774 0.774 0.000
Sb1 0.000 0.500 0.500
Ir1 0.500 0.000 0.500

Results
Symmetry = Immm, No. 71
Size of the total moment = 0.0 μB/f.u.
Density = 17.40 Mg/m³
E = -0.32743 hartree per atom
Crystal system = orthorhombic
Formation energy from raw total energies = 0.560 eV per atom